Entry from Alexandria: a relaxed structure of FeNi2F8 (PBE+U).

E_tot: -95.12 eV per cell
Magnetic moment: 20.044 μB per cell

a = 9.244 Å, b = 6.707 Å, c = 4.207 Å
α = 90.00°, β = 90.57°, γ = 90.00°
Space group C2/m (No. 12)
Inequivalent atoms, fractional coordinates:
1 Fe 0.000 0.000 0.000 x2
2 Ni 0.121 0.500 0.248 x4
3 F 0.095 0.500 0.747 x4
4 F 0.101 0.212 0.235 x8
5 F 0.173 0.000 0.735 x4